[1]
A relaxed structure of KTaAs2, computed with PBE.

Geometry as POSCAR:
```
KTaAs2
1.0
0.000 3.447 3.447
3.447 0.000 3.447
3.447 3.447 0.000
Ta As K
1 2 1
Cartesian
3.447 3.447 3.447
1.723 1.723 1.723
5.170 5.170 5.170
0.000 0.000 0.000
```

DOS at the Fermi energy (states/eV/cell): 3.89
VASP energy (eV per atom): -5.192
SG: Fm-3m (225)
Formation energy from the elements (eV/f.u.): 1.48



[2]
A relaxed structure of KRb2OsI6, computed with PBE.

Geometry as POSCAR:
```
KRb2OsI6
1.0
-8.364 -1.071 -1.473
1.276 -8.385 -1.154
-4.462 -5.680 4.593
I Rb Os K
6 2 1 1
Cartesian
-4.051 -5.254 1.948
-7.499 -9.882 0.018
-6.205 -2.708 -1.402
-1.587 -2.117 -0.588
-0.882 -6.747 -1.225
-5.501 -7.339 -2.039
-3.365 -9.397 1.063
-8.185 -5.739 0.903
0.000 0.000 0.000
-3.544 -4.728 -1.313
```

DOS at the Fermi energy (states/eV/cell): 11.80
VASP energy (eV per atom): -3.075
Formation energy from raw total energies (eV/atom): -0.718
SG: Fm-3m (225)



[3]
A relaxed structure of NdHoAlAg, computed with PBE.

Geometry as POSCAR:
```
NdHoAlAg
1.0
-3.682 3.408 -1.484
-5.052 -1.083 0.823
-2.696 2.673 3.601
Nd Al Ag Ho
1 1 1 1
Cartesian
-5.715 2.499 1.470
-8.572 3.748 2.205
-2.857 1.249 0.735
0.000 0.000 0.000
```

DOS at the Fermi energy (states/eV/cell): 4.11
VASP energy (eV per atom): -4.292
SG: F-43m (216)
Formation energy from the elements (eV/f.u.): -1.23



[4]
A relaxed structure of MnCr, computed with PBE.

Geometry as POSCAR:
```
MnCr
1.0
3.804 0.000 0.000
1.902 3.294 0.000
1.902 1.098 3.106
Mn Cr
1 1
Cartesian
1.902 1.098 0.776
0.000 0.000 0.000
```

DOS at the Fermi energy (states/eV/cell): 2.68
VASP energy (eV per atom): -7.883
SG: F-43m (216)
Formation energy from the elements (eV/f.u.): 3.03



[5]
A relaxed structure of YCdW4, computed with PBE.

Geometry as POSCAR:
```
YCdW4
1.0
0.000 3.870 3.870
3.870 0.000 3.870
3.870 3.870 0.000
W Cd Y
4 1 1
Cartesian
4.841 4.841 2.899
2.899 2.899 2.899
4.841 2.899 4.841
2.899 4.841 4.841
0.000 0.000 0.000
5.805 5.805 5.805
```

DOS at the Fermi energy (states/eV/cell): 7.21
VASP energy (eV per atom): -9.470
SG: F-43m (216)
Formation energy from the elements (eV/f.u.): 2.37



[6]
A relaxed structure of DyHo3Co2, computed with PBE.

Geometry as POSCAR:
```
DyHo3Co2
1.0
-1.243 -1.092 -3.350
-4.471 -6.836 1.805
-9.222 3.517 0.192
Ho Co Dy
6 4 2
Cartesian
-3.641 -0.540 -2.640
-7.107 -0.525 -1.358
-4.726 -5.719 -0.549
-7.829 -3.887 0.006
-10.211 1.307 -0.804
-11.295 -3.872 1.287
-3.271 -3.525 -1.804
-11.666 -0.886 0.451
-4.825 0.774 -0.545
-10.112 -5.186 -0.807
-10.484 -2.202 -1.642
-4.453 -2.210 0.289
```

DOS at the Fermi energy (states/eV/cell): 14.89
VASP energy (eV per atom): -5.590
SG: C2/m (12)
Formation energy from the elements (eV/f.u.): -0.99



Q: Which formula does entry 1 have?
A: KTaAs2



Q: What is the DOS at the Fermi energy in the first record?
A: 3.89 states/eV/cell



Q: The highest DOS at the Fermi energy belongs to which entry?
A: DyHo3Co2



Q: Among the records above, which one has the highest VASP energy?
A: KRb2OsI6